## MnPtPb2Au (PBE-GGA)

Data for MnPtPb2Au after structural relaxation.

The structure in POSCAR format:
```
MnPtPb2Au
1.0
5.3889 0.0000 0.0000
0.0000 5.3889 0.0000
0.0000 0.0000 4.9478
Mn Pt Pb Au
1 1 2 1
Cartesian
0.0000 0.0000 0.0000
2.6945 2.6945 0.0000
0.0000 2.6945 2.4739
2.6945 0.0000 2.4739
0.0000 0.0000 2.4739
```

Computed properties:
Energy relative to the elements (eV per atom): 0.81
Spin magnetization (Bohr magnetons per cell): 4.6
V (Å³ per atom): 28.7
Total energy (eV/cell): -21.9



## Cs2PmSeO6 (PBE-GGA)

Data for Cs2PmSeO6 after structural relaxation.

The structure in POSCAR format:
```
Cs2PmSeO6
1.0
6.7933 0.0000 0.0000
-3.3966 5.8831 0.0000
0.0000 0.0000 5.9086
Cs Pm Se O
2 1 1 6
Cartesian
0.0000 3.9221 0.7253
3.3966 1.9610 5.1833
0.0000 0.0000 2.9543
0.0000 0.0000 0.0000
0.0000 1.4797 4.8135
-2.1152 5.1433 4.8135
1.2815 0.7399 1.0951
2.1152 5.1433 4.8135
5.5118 0.7399 1.0951
3.3966 4.4034 1.0951
```

Computed properties:
Spin magnetization (Bohr magnetons per cell): 1.0
V (Å³ per atom): 23.6
Total energy (eV/cell): -54.6
ΔE_f (raw) (meV per atom): -1487



## TaTi8 (PBE-GGA)

Data for TaTi8 after structural relaxation.

The structure in POSCAR format:
```
TaTi8
1.0
-4.3838 4.3838 2.0381
4.3838 -4.3838 2.0381
4.3838 4.3838 -2.0381
Ta Ti
1 8
Cartesian
0.0000 0.0000 0.0000
2.9332 0.0000 0.0000
5.8343 0.0000 0.0000
2.9153 2.9153 0.0000
1.4685 -1.4685 2.0381
0.0000 2.9332 0.0000
0.0000 5.8343 0.0000
-1.4685 1.4685 2.0381
1.4685 1.4685 2.0381
```

Computed properties:
Energy relative to the elements (eV per atom): 0.08
Spin magnetization (Bohr magnetons per cell): 0.0
V (Å³ per atom): 17.4
Total energy (eV/cell): -74.3



## CsB3O5 (PBE-GGA)

Data for CsB3O5 after structural relaxation.

The structure in POSCAR format:
```
CsB3O5
1.0
6.0545 0.0000 0.0000
0.0000 8.5513 0.0000
0.0000 0.0000 10.0239
Cs B O
4 12 20
Cartesian
0.0342 2.0111 1.3744
2.9931 6.5403 6.3864
3.0614 2.2646 8.6495
6.0203 6.2867 3.6375
0.1799 7.9501 8.0591
0.3699 1.2830 6.4385
1.4660 5.3642 0.3355
1.5613 3.1871 5.3474
2.6574 7.2683 1.4266
2.8474 0.6012 3.0471
3.2071 4.8769 1.9649
3.3972 2.9926 3.5854
4.4932 7.4627 9.6885
4.5886 1.0886 4.6765
5.6846 5.5587 8.5974
5.8746 3.6744 6.9768
0.3357 6.6158 7.8279
0.6000 4.8213 9.4552
0.7738 4.1297 6.0505
0.9600 0.2977 7.3692
1.4685 1.8559 5.6319
1.5588 6.6954 0.6199
2.0672 8.2536 2.3573
2.2535 4.4217 1.0385
2.4273 3.7300 4.4432
2.6915 1.9355 2.8159
3.3630 6.2112 2.1961
3.6272 8.0057 0.5687
3.8011 0.1460 3.9735
3.9873 3.9780 2.6547
4.4957 2.4197 4.3921
4.5860 6.1316 9.4040
5.0945 4.5733 7.6666
5.2807 8.4053 8.9854
5.4545 0.5456 5.5807
5.7188 2.3402 7.2080
```

Computed properties:
Spin magnetization (Bohr magnetons per cell): 0.0
V (Å³ per atom): 14.4
Total energy (eV/cell): -270.1
ΔE_f (raw) (meV per atom): -2427



## PrDy3Bi3 (PBE-GGA)

Data for PrDy3Bi3 after structural relaxation.

The structure in POSCAR format:
```
PrDy3Bi3
1.0
4.6372 2.6773 6.2919
-4.6372 2.6773 6.2919
0.0000 -5.3545 6.2919
Pr Dy Bi
2 6 6
Cartesian
0.0000 0.0000 3.1326
0.0000 0.0000 15.7430
-1.2069 -2.1054 7.8890
-2.4268 -0.0075 10.9866
-1.2199 2.0980 7.8890
1.2199 -2.0980 10.9866
2.4268 0.0075 7.8890
1.2069 2.1055 10.9866
-3.5495 -0.0174 7.8299
-1.7597 -3.0827 11.0458
1.7899 -3.0653 7.8298
-1.7899 3.0653 11.0458
1.7597 3.0827 7.8299
3.5495 0.0174 11.0458
```

Computed properties:
Energy relative to the elements (eV per atom): -0.66
Spin magnetization (Bohr magnetons per cell): 0.0
V (Å³ per atom): 33.5
Total energy (eV/cell): -69.7



## Pm2MgCu2Pd5 (PBE-GGA)

Data for Pm2MgCu2Pd5 after structural relaxation.

The structure in POSCAR format:
```
Pm2MgCu2Pd5
1.0
9.5634 0.0000 0.0000
0.0000 9.5634 0.0000
0.0000 0.0000 3.9393
Pm Mg Cu Pd
4 2 4 10
Cartesian
1.6886 3.0931 0.0000
3.0931 7.8748 0.0000
6.4703 1.6886 0.0000
7.8748 6.4703 0.0000
0.0000 0.0000 0.0000
4.7817 4.7817 0.0000
1.1458 5.9275 0.0000
3.6359 1.1458 0.0000
5.9275 8.4176 0.0000
8.4176 3.6359 0.0000
0.0000 4.7817 1.9696
0.6612 7.5922 1.9696
1.9712 0.6612 1.9696
2.8105 5.4429 1.9696
4.1205 2.8105 1.9696
4.7817 0.0000 1.9696
5.4429 6.7529 1.9696
6.7529 4.1205 1.9696
7.5922 8.9022 1.9696
8.9022 1.9712 1.9696
```

Computed properties:
Energy relative to the elements (eV per atom): -0.63
Spin magnetization (Bohr magnetons per cell): 0.0
V (Å³ per atom): 18.0
Total energy (eV/cell): -103.0



## HoTmAg2 (PBE-GGA)

Data for HoTmAg2 after structural relaxation.

The structure in POSCAR format:
```
HoTmAg2
1.0
0.0000 3.6053 3.6053
3.6053 0.0000 3.6053
3.6053 3.6053 0.0000
Ho Tm Ag
1 1 2
Cartesian
0.0000 0.0000 0.0000
3.6053 3.6053 3.6053
1.8027 1.8027 1.8027
5.4080 5.4080 5.4080
```

Computed properties:
Energy relative to the elements (eV per atom): -0.33
Spin magnetization (Bohr magnetons per cell): 0.0
V (Å³ per atom): 23.4
Total energy (eV/cell): -16.1
E above lowest polymorph (meV/atom): 2.4



## MnAl2W (PBE-GGA)

Data for MnAl2W after structural relaxation.

The structure in POSCAR format:
```
MnAl2W
1.0
2.7205 0.0000 0.0000
0.0000 4.4213 0.0000
-0.3390 0.0000 4.8358
Mn Al W
1 2 1
Cartesian
0.0000 0.0000 0.0000
0.8377 2.2107 3.8795
1.0329 0.0000 2.3932
2.3144 2.2107 1.4147
```

Computed properties:
Energy relative to the elements (eV per atom): -0.06
Spin magnetization (Bohr magnetons per cell): 2.3
V (Å³ per atom): 14.5
Total energy (eV/cell): -29.8
E above lowest polymorph (meV/atom): 114.6



## CsReSn2 (PBE-GGA)

Data for CsReSn2 after structural relaxation.

The structure in POSCAR format:
```
CsReSn2
1.0
-3.5019 3.5019 7.3564
3.5019 -3.5019 7.3564
3.5019 3.5019 -7.3564
Cs Re Sn
2 2 4
Cartesian
3.5019 1.7509 1.8391
0.0000 1.7509 5.5173
3.5019 -1.7509 5.5173
0.0000 5.2528 1.8391
0.0000 0.0000 0.0000
1.7509 1.7509 -3.6782
1.7509 -1.7509 3.6782
0.0000 3.5019 0.0000
```

Computed properties:
Energy relative to the elements (eV per atom): 0.44
Spin magnetization (Bohr magnetons per cell): 0.0
V (Å³ per atom): 45.1
Total energy (eV/cell): -39.1
E above lowest polymorph (meV/atom): 0.0



## InFeNiRh (PBE-GGA)

Data for InFeNiRh after structural relaxation.

The structure in POSCAR format:
```
InFeNiRh
1.0
0.0000 3.0777 3.0777
3.0777 0.0000 3.0777
3.0777 3.0777 0.0000
In Fe Ni Rh
1 1 1 1
Cartesian
0.0000 0.0000 0.0000
3.0777 3.0777 3.0777
1.5389 1.5389 1.5389
4.6166 4.6166 4.6166
```

Computed properties:
Energy relative to the elements (eV per atom): -0.07
Spin magnetization (Bohr magnetons per cell): 3.5
V (Å³ per atom): 14.6
Total energy (eV/cell): -24.6



## Sr2TlAg (PBE-GGA)

Data for Sr2TlAg after structural relaxation.

The structure in POSCAR format:
```
Sr2TlAg
1.0
4.6054 0.0000 0.0000
0.0000 4.6054 0.0000
0.0000 0.0000 6.9009
Sr Tl Ag
2 1 1
Cartesian
0.0000 0.0000 0.0000
2.3027 2.3027 2.7426
0.0000 0.0000 3.6129
2.3027 2.3027 6.1629
```

Computed properties:
Energy relative to the elements (eV per atom): -0.18
Spin magnetization (Bohr magnetons per cell): 0.0
V (Å³ per atom): 36.6
Total energy (eV/cell): -9.3



## Ca2CdAs2 (PBE-GGA)

Data for Ca2CdAs2 after structural relaxation.

The structure in POSCAR format:
```
Ca2CdAs2
1.0
-2.7445 2.7445 4.8242
2.7445 -2.7445 4.8242
2.7445 2.7445 -4.8242
Ca Cd As
2 1 2
Cartesian
2.7445 0.0000 2.4121
0.0000 2.7445 2.4121
0.0000 0.0000 0.0000
0.0000 0.0000 3.5635
0.0000 0.0000 6.0848
```

Computed properties:
Energy relative to the elements (eV per atom): -0.61
Spin magnetization (Bohr magnetons per cell): 0.0
V (Å³ per atom): 29.1
Total energy (eV/cell): -17.3



## YH2Pt (PBE-GGA)

Data for YH2Pt after structural relaxation.

The structure in POSCAR format:
```
YH2Pt
1.0
0.0000 2.9091 2.9091
2.9091 0.0000 2.9091
2.9091 2.9091 0.0000
Y H Pt
1 2 1
Cartesian
0.0000 0.0000 0.0000
1.4546 1.4546 1.4546
4.3637 4.3637 4.3637
2.9091 2.9091 2.9091
```

Computed properties:
Spin magnetization (Bohr magnetons per cell): 0.0
V (Å³ per atom): 12.3
Total energy (eV/cell): -20.6
E above lowest polymorph (meV/atom): 337.4



## LiLaTc2Br (PBE-GGA)

Data for LiLaTc2Br after structural relaxation.

The structure in POSCAR format:
```
LiLaTc2Br
1.0
4.7586 0.0000 0.0000
0.0000 4.7586 0.0000
0.0000 0.0000 8.1875
Li La Tc Br
1 1 2 1
Cartesian
0.0000 0.0000 0.0000
0.0000 0.0000 4.0937
0.0000 2.3793 4.0937
2.3793 0.0000 4.0937
2.3793 2.3793 0.0000
```

Computed properties:
Spin magnetization (Bohr magnetons per cell): 3.1
V (Å³ per atom): 37.1
Total energy (eV/cell): -22.4
ΔE_f (raw) (meV per atom): 1375



## LiTm2Rh3 (PBE-GGA)

Data for LiTm2Rh3 after structural relaxation.

The structure in POSCAR format:
```
LiTm2Rh3
1.0
3.3154 0.0000 0.0000
0.0000 3.3154 0.0000
0.0000 0.0000 9.4080
Li Tm Rh
1 2 3
Cartesian
0.0000 0.0000 0.0000
0.0000 0.0000 2.9639
0.0000 0.0000 6.4442
1.6577 1.6577 1.4075
1.6577 1.6577 4.7040
1.6577 1.6577 8.0005
```

Computed properties:
Energy relative to the elements (eV per atom): -0.68
Spin magnetization (Bohr magnetons per cell): 0.0
V (Å³ per atom): 17.2
Total energy (eV/cell): -37.0
E above lowest polymorph (meV/atom): 37.2



## AcPaI2O8 (PBE-GGA)

Data for AcPaI2O8 after structural relaxation.

The structure in POSCAR format:
```
AcPaI2O8
1.0
6.6355 0.0000 0.0000
-3.3177 5.7465 0.0000
0.0000 0.0000 6.9859
Ac Pa I O
1 1 2 8
Cartesian
0.0000 0.0000 0.0000
0.0000 0.0000 3.4930
0.0000 3.8310 1.9756
3.3177 1.9155 5.0104
0.0000 1.6214 2.0219
-1.9136 4.9358 2.0219
1.4042 0.8107 4.9640
0.0000 3.8310 0.1630
3.3177 1.9155 6.8230
1.9136 4.9358 2.0219
5.2313 0.8107 4.9640
3.3177 4.1251 4.9640
```

Computed properties:
Spin magnetization (Bohr magnetons per cell): 0.0
V (Å³ per atom): 22.2
Total energy (eV/cell): -74.6
ΔE_f (raw) (meV per atom): -1517



## Gd2ErSn (PBE-GGA)

Data for Gd2ErSn after structural relaxation.

The structure in POSCAR format:
```
Gd2ErSn
1.0
4.1906 0.0000 0.0000
0.0000 4.1906 0.0000
0.0000 0.0000 6.6599
Gd Er Sn
2 1 1
Cartesian
0.0000 0.0000 1.5534
0.0000 0.0000 5.1066
2.0953 2.0953 3.3300
2.0953 2.0953 0.0000
```

Computed properties:
Energy relative to the elements (eV per atom): -0.36
Spin magnetization (Bohr magnetons per cell): 15.0
V (Å³ per atom): 29.2
Total energy (eV/cell): -38.2
E above lowest polymorph (meV/atom): 73.7



## CoMoRu3 (PBE-GGA)

Data for CoMoRu3 after structural relaxation.

The structure in POSCAR format:
```
CoMoRu3
1.0
4.6152 0.0000 0.0000
0.0000 4.6152 0.0000
0.0000 0.0000 4.6152
Co Mo Ru
1 1 3
Cartesian
0.0000 0.0000 0.0000
2.3076 2.3076 2.3076
0.0000 2.3076 2.3076
2.3076 0.0000 2.3076
2.3076 2.3076 0.0000
```

Computed properties:
Energy relative to the elements (eV per atom): 1.86
Spin magnetization (Bohr magnetons per cell): 4.4
V (Å³ per atom): 19.7
Total energy (eV/cell): -36.5
E above lowest polymorph (meV/atom): 391.3



## La4SnSe2Cl (PBE-GGA)

Data for La4SnSe2Cl after structural relaxation.

The structure in POSCAR format:
```
La4SnSe2Cl
1.0
-4.3720 4.4237 6.1984
4.3720 -4.4237 6.1984
4.3720 4.4237 -6.1984
La Sn Se Cl
8 2 4 2
Cartesian
2.1002 2.2119 0.0456
2.2718 -2.2119 6.2440
0.0000 0.1006 3.0439
4.3720 0.1006 3.1545
0.0000 4.3231 3.0439
4.3720 4.3231 3.1545
2.1002 6.6356 -0.0456
2.2718 2.2119 6.1528
4.3720 0.0000 0.0000
0.0000 0.0000 6.1984
0.0000 0.0000 0.0000
-2.1860 2.2119 3.0992
0.0000 4.4237 0.0000
2.1860 2.2119 3.0992
2.1860 2.2119 -3.0992
2.1860 -2.2119 3.0992
```

Computed properties:
Spin magnetization (Bohr magnetons per cell): 0.0
V (Å³ per atom): 30.0
Total energy (eV/cell): -90.6
ΔE_f (raw) (meV per atom): -1594



## Rb2CuBr (PBE-GGA)

Data for Rb2CuBr after structural relaxation.

The structure in POSCAR format:
```
Rb2CuBr
1.0
-3.9789 3.9789 7.6320
3.9789 -3.9789 7.6320
3.9789 3.9789 -7.6320
Rb Cu Br
4 2 2
Cartesian
5.9683 1.9255 -1.9080
1.9255 1.9894 1.9080
-1.9894 2.0534 5.7240
2.0534 1.9894 9.5399
3.9789 0.0000 3.8160
0.0000 0.0000 7.6320
0.0000 0.0000 0.0000
0.0000 3.9789 3.8160
```

Computed properties:
Spin magnetization (Bohr magnetons per cell): 0.0
V (Å³ per atom): 60.4
Total energy (eV/cell): -19.5
E above lowest polymorph (meV/atom): 51.3
ΔE_f (raw) (meV per atom): -509